[1]
Here is Mg2BeTe after structural relaxation from Alexandria via LeMat-Bulk. Energies are from PBE.

The total magnetization comes out at 0.000 μB/atom. The space group is R3m. As for the density of states at the Fermi level: 0.96 states/eV per cell. The uncorrected formation energy is 0.0669 eV/atom.

abc: 7.897 7.897 7.897
angles: 27.54 27.54 27.54
Positions (direct):
Mg1 0.000 0.000 0.000
Mg2 0.231 0.231 0.231
Be1 0.745 0.745 0.745
Te1 0.458 0.458 0.458

[2]
Here is VCrNiMo after structural relaxation from Alexandria via LeMat-Bulk. Energies are from PBE.

The total magnetization comes out at 0.324 μB/atom. The space group is F-43m. As for the density of states at the Fermi level: 4.37 states/eV per cell. The calculated formation energy comes out at 60 meV per atom.

abc: 4.204 4.204 4.204
angles: 60.00 60.00 60.00
Positions (direct):
V1 0.000 0.000 0.000
Cr1 0.500 0.500 0.500
Ni1 0.250 0.250 0.250
Mo1 0.750 0.750 0.750

[3]
Here is Tl5GaHg after structural relaxation from Alexandria via LeMat-Bulk. Energies are from PBE.

The total magnetization comes out at 0.000 μB/atom. The space group is P4/mmm. As for the density of states at the Fermi level: 4.06 states/eV per cell. The calculated formation energy comes out at 67 meV per atom.

abc: 4.881 4.881 8.742
angles: 90.00 90.00 90.00
Positions (direct):
Tl1 0.000 0.000 0.000
Tl2 0.000 0.500 0.290
Tl3 0.000 0.500 0.710
Tl4 0.500 0.000 0.290
Tl5 0.500 0.000 0.710
Ga1 0.500 0.500 0.500
Hg1 0.500 0.500 0.000

[4]
Here is Ta3Mo2H4 after structural relaxation from Alexandria via LeMat-Bulk. Energies are from PBE.

The total magnetization comes out at 0.000 μB/atom. The value obtained for the energy is -7.750 eV/atom. The space group is C2/m. As for the density of states at the Fermi level: 5.48 states/eV per cell.

abc: 4.903 4.903 6.835
angles: 99.25 99.25 36.74
Positions (direct):
Ta1 0.000 0.000 0.000
Ta2 0.382 0.382 0.613
Ta3 0.618 0.618 0.387
Mo1 0.308 0.308 0.191
Mo2 0.692 0.692 0.809
H1 0.051 0.051 0.723
H2 0.341 0.341 0.905
H3 0.659 0.659 0.095
H4 0.949 0.949 0.277

[5]
Here is CdHg2Sb after structural relaxation from Alexandria via LeMat-Bulk. Energies are from PBE.

The total magnetization comes out at 0.000 μB/atom. The space group is R3m. As for the density of states at the Fermi level: 1.90 states/eV per cell. The uncorrected formation energy is 0.1259 eV/atom.

abc: 6.773 6.773 6.773
angles: 38.84 38.84 38.84
Positions (direct):
Cd1 0.000 0.000 0.000
Hg1 0.410 0.410 0.410
Hg2 0.585 0.585 0.585
Sb1 0.831 0.831 0.831

[6]
Here is TiIn2Cl after structural relaxation from Alexandria via LeMat-Bulk. Energies are from PBE.

The total magnetization comes out at 0.000 μB/atom. The space group is Fm-3m. As for the density of states at the Fermi level: 5.05 states/eV per cell. The uncorrected formation energy is 0.2964 eV/atom.

abc: 5.126 5.126 5.126
angles: 60.00 60.00 60.00
Positions (direct):
Ti1 0.000 0.000 0.000
In1 0.250 0.250 0.250
In2 0.750 0.750 0.750
Cl1 0.500 0.500 0.500

[7]
Here is LaPm5Sn6 after structural relaxation from Alexandria via LeMat-Bulk. Energies are from PBE.

The total magnetization comes out at 0.000 μB/atom. The space group is Cmmm. As for the density of states at the Fermi level: 10.38 states/eV per cell. The calculated formation energy comes out at -682 meV per atom.

abc: 7.943 7.943 9.075
angles: 90.00 90.00 143.41
Positions (direct):
La1 0.000 0.000 0.000
Pm1 0.000 0.000 0.500
Pm2 0.333 0.667 0.000
Pm3 0.333 0.667 0.500
Pm4 0.667 0.333 0.000
Pm5 0.667 0.333 0.500
Sn1 0.168 0.832 0.252
Sn2 0.168 0.832 0.748
Sn3 0.500 0.500 0.252
Sn4 0.500 0.500 0.748
Sn5 0.832 0.168 0.252
Sn6 0.832 0.168 0.748

[8]
Here is MgRuPt3 after structural relaxation from Alexandria via LeMat-Bulk. Energies are from PBE.

The total magnetization comes out at 0.000 μB/atom. The space group is Pm-3m. As for the density of states at the Fermi level: 7.56 states/eV per cell. The calculated formation energy comes out at 895 meV per atom.

abc: 4.809 4.809 4.809
angles: 90.00 90.00 90.00
Positions (direct):
Mg1 0.000 0.000 0.000
Ru1 0.500 0.500 0.500
Pt1 0.000 0.500 0.500
Pt2 0.500 0.000 0.500
Pt3 0.500 0.500 0.000

[9]
Here is ScTeI3 after structural relaxation from Alexandria via LeMat-Bulk. Energies are from PBE.

The total magnetization comes out at 0.352 μB/atom. The space group is Pm-3m. As for the density of states at the Fermi level: 19.89 states/eV per cell. The uncorrected formation energy is 0.3514 eV/atom.

abc: 6.089 6.089 6.089
angles: 90.00 90.00 90.00
Positions (direct):
Sc1 0.000 0.000 0.000
Te1 0.500 0.500 0.500
I1 0.000 0.500 0.500
I2 0.500 0.000 0.500
I3 0.500 0.500 0.000

[10]
Here is NaZr2Np3N6 after structural relaxation from Alexandria via LeMat-Bulk. Energies are from PBE.

The total magnetization comes out at 0.693 μB/atom. The space group is C2/m. As for the density of states at the Fermi level: 16.35 states/eV per cell. The uncorrected formation energy is -1.1895 eV/atom.

abc: 7.517 7.517 6.742
angles: 101.49 101.49 25.87
Positions (direct):
Na1 0.000 0.000 0.000
Zr1 0.329 0.329 0.660
Zr2 0.671 0.671 0.340
Np1 0.000 0.000 0.500
Np2 0.337 0.337 0.162
Np3 0.663 0.663 0.838
N1 0.167 0.167 0.580
N2 0.174 0.174 0.094
N3 0.496 0.496 0.716
N4 0.504 0.504 0.284
N5 0.826 0.826 0.906
N6 0.833 0.833 0.420

[11]
Here is BaPu2ReN4 after structural relaxation from Alexandria via LeMat-Bulk. Energies are from PBE.

The total magnetization comes out at 1.076 μB/atom. The space group is Cmcm. As for the density of states at the Fermi level: 25.54 states/eV per cell. The uncorrected formation energy is -0.8148 eV/atom.

abc: 6.352 6.352 12.180
angles: 90.00 90.00 147.81
Positions (direct):
Ba1 0.076 0.924 0.750
Ba2 0.924 0.076 0.250
Pu1 0.368 0.632 0.545
Pu2 0.368 0.632 0.955
Pu3 0.632 0.368 0.045
Pu4 0.632 0.368 0.455
Re1 0.187 0.813 0.250
Re2 0.813 0.187 0.750
N1 0.000 0.000 0.000
N2 0.000 0.000 0.500
N3 0.249 0.751 0.101
N4 0.249 0.751 0.399
N5 0.393 0.607 0.750
N6 0.607 0.393 0.250
N7 0.751 0.249 0.601
N8 0.751 0.249 0.899

[12]
Here is Rb3BF after structural relaxation from Alexandria via LeMat-Bulk. Energies are from PBE.

The total magnetization comes out at 0.585 μB/atom. The space group is Pm-3m. As for the density of states at the Fermi level: 1.16 states/eV per cell. The uncorrected formation energy is -0.2685 eV/atom.

abc: 5.511 5.511 5.511
angles: 90.00 90.00 90.00
Positions (direct):
Rb1 0.000 0.000 0.500
Rb2 0.000 0.500 0.000
Rb3 0.500 0.000 0.000
B1 0.500 0.500 0.500
F1 0.000 0.000 0.000

[13]
Here is ScRe2Hg after structural relaxation from Alexandria via LeMat-Bulk. Energies are from PBE.

The total magnetization comes out at 0.000 μB/atom. The space group is Pmmm. As for the density of states at the Fermi level: 2.76 states/eV per cell. The calculated formation energy comes out at 322 meV per atom.

abc: 3.338 4.466 4.601
angles: 90.00 90.00 90.00
Positions (direct):
Sc1 0.000 0.000 0.000
Re1 0.000 0.500 0.500
Re2 0.500 0.000 0.500
Hg1 0.500 0.500 0.000

[14]
Here is KLi3B after structural relaxation from Alexandria via LeMat-Bulk. Energies are from PBE.

The total magnetization comes out at 0.199 μB/atom. The space group is Pm-3m. As for the density of states at the Fermi level: 1.87 states/eV per cell. The calculated formation energy comes out at 420 meV per atom.

abc: 4.686 4.686 4.686
angles: 90.00 90.00 90.00
Positions (direct):
K1 0.000 0.000 0.000
Li1 0.000 0.500 0.500
Li2 0.500 0.000 0.500
Li3 0.500 0.500 0.000
B1 0.500 0.500 0.500

[15]
Here is CaBe2Ir2 after structural relaxation from Alexandria via LeMat-Bulk. Energies are from PBE.

The total magnetization comes out at 0.000 μB/atom. The space group is I4/mmm. As for the density of states at the Fermi level: 1.61 states/eV per cell. The calculated formation energy comes out at -353 meV per atom.

abc: 5.554 5.554 5.554
angles: 137.66 137.66 61.42
Positions (direct):
Ca1 0.000 0.000 0.000
Be1 0.250 0.750 0.500
Be2 0.750 0.250 0.500
Ir1 0.370 0.370 0.000
Ir2 0.630 0.630 0.000

[16]
Here is CsCdH6Ir after structural relaxation from Alexandria via LeMat-Bulk. Energies are from PBE.

The total magnetization comes out at 0.000 μB/atom. The value obtained for the energy is -3.638 eV/atom. The space group is P312. As for the density of states at the Fermi level: 0.00 states/eV per cell.

abc: 4.930 4.930 6.477
angles: 90.00 90.00 120.00
Positions (direct):
Cs1 0.000 0.000 0.000
Cd1 0.333 0.667 0.500
H1 0.387 0.086 0.661
H2 0.387 0.301 0.339
H3 0.699 0.086 0.339
H4 0.699 0.613 0.661
H5 0.914 0.301 0.661
H6 0.914 0.613 0.339
Ir1 0.667 0.333 0.500

[17]
Here is TeC3 after structural relaxation from Alexandria via LeMat-Bulk. Energies are from PBE.

The total magnetization comes out at 0.000 μB/atom. The space group is P-6m2. As for the density of states at the Fermi level: 2.80 states/eV per cell. The uncorrected formation energy is 2.5304 eV/atom.

abc: 2.914 2.914 8.989
angles: 90.00 90.00 120.00
Positions (direct):
Te1 0.000 0.000 0.000
C1 0.000 0.000 0.500
C2 0.333 0.667 0.421
C3 0.333 0.667 0.579

[18]
Here is Li3Zn6Pt2 after structural relaxation from Alexandria via LeMat-Bulk. Energies are from PBE.

The total magnetization comes out at 0.000 μB/atom. The space group is P-1. As for the density of states at the Fermi level: 3.76 states/eV per cell. The calculated formation energy comes out at -370 meV per atom.

abc: 5.067 5.115 7.708
angles: 105.42 95.31 117.11
Positions (direct):
Li1 0.000 0.000 0.000
Li2 0.085 0.322 0.388
Li3 0.915 0.678 0.612
Zn1 0.330 0.643 0.041
Zn2 0.409 0.179 0.605
Zn3 0.465 0.752 0.737
Zn4 0.535 0.248 0.263
Zn5 0.591 0.821 0.395
Zn6 0.670 0.357 0.959
Pt1 0.036 0.759 0.281
Pt2 0.964 0.241 0.719

[19]
Here is Ti3Zn2 after structural relaxation from Alexandria via LeMat-Bulk. Energies are from PBE.

The total magnetization comes out at 0.000 μB/atom. The space group is I4/mmm. As for the density of states at the Fermi level: 3.94 states/eV per cell. The calculated formation energy comes out at -174 meV per atom.

abc: 9.530 9.530 9.530
angles: 162.30 162.30 25.13
Positions (direct):
Ti1 0.000 0.000 0.000
Ti2 0.199 0.199 0.000
Ti3 0.801 0.801 0.000
Zn1 0.402 0.402 0.000
Zn2 0.598 0.598 0.000

[20]
Here is MnInC3 after structural relaxation from Alexandria via LeMat-Bulk. Energies are from PBE.

The total magnetization comes out at 0.000 μB/atom. The space group is Pm-3m. As for the density of states at the Fermi level: 3.15 states/eV per cell. The calculated formation energy comes out at 1736 meV per atom.

abc: 3.869 3.869 3.869
angles: 90.00 90.00 90.00
Positions (direct):
Mn1 0.000 0.000 0.000
In1 0.500 0.500 0.500
C1 0.000 0.000 0.500
C2 0.000 0.500 0.000
C3 0.500 0.000 0.000

[21]
Here is Zn2GaAg9 after structural relaxation from Alexandria via LeMat-Bulk. Energies are from PBE.

The total magnetization comes out at 0.000 μB/atom. The space group is P4/mmm. As for the density of states at the Fermi level: 3.45 states/eV per cell. The calculated formation energy comes out at -3 meV per atom.

abc: 4.083 4.083 12.392
angles: 90.00 90.00 90.00
Positions (direct):
Zn1 0.000 0.000 0.167
Zn2 0.000 0.000 0.833
Ga1 0.000 0.000 0.500
Ag1 0.000 0.500 0.000
Ag2 0.000 0.500 0.331
Ag3 0.000 0.500 0.669
Ag4 0.500 0.000 0.000
Ag5 0.500 0.000 0.331
Ag6 0.500 0.000 0.669
Ag7 0.500 0.500 0.166
Ag8 0.500 0.500 0.500
Ag9 0.500 0.500 0.834

[22]
Here is Dy2TiCd after structural relaxation from Alexandria via LeMat-Bulk. Energies are from PBE.

The total magnetization comes out at 0.500 μB/atom. The space group is R-3m. As for the density of states at the Fermi level: 5.34 states/eV per cell. The calculated formation energy comes out at 362 meV per atom.

abc: 11.529 11.529 11.529
angles: 16.25 16.25 16.25
Positions (direct):
Dy1 0.086 0.086 0.086
Dy2 0.914 0.914 0.914
Ti1 0.000 0.000 0.000
Cd1 0.500 0.500 0.500

[23]
Here is ScCuSbPd after structural relaxation from Alexandria via LeMat-Bulk. Energies are from PBE.

The total magnetization comes out at 0.000 μB/atom. The space group is F-43m. As for the density of states at the Fermi level: 1.76 states/eV per cell. The uncorrected formation energy is -0.5353 eV/atom.

abc: 4.647 4.647 4.647
angles: 60.00 60.00 60.00
Positions (direct):
Sc1 0.000 0.000 0.000
Cu1 0.750 0.750 0.750
Sb1 0.500 0.500 0.500
Pd1 0.250 0.250 0.250

[24]
Here is TbPm6Se8 after structural relaxation from Alexandria via LeMat-Bulk. Energies are from PBE.

The total magnetization comes out at 0.000 μB/atom. The space group is Fm-3m. As for the density of states at the Fermi level: 6.88 states/eV per cell. The uncorrected formation energy is -1.8778 eV/atom.

abc: 8.357 8.357 8.357
angles: 60.00 60.00 60.00
Positions (direct):
Tb1 0.000 0.000 0.000
Pm1 0.000 0.000 0.500
Pm2 0.000 0.500 0.000
Pm3 0.000 0.500 0.500
Pm4 0.500 0.000 0.000
Pm5 0.500 0.000 0.500
Pm6 0.500 0.500 0.000
Se1 0.249 0.249 0.751
Se2 0.249 0.751 0.249
Se3 0.249 0.751 0.751
Se4 0.250 0.250 0.250
Se5 0.750 0.750 0.750
Se6 0.751 0.249 0.249
Se7 0.751 0.249 0.751
Se8 0.751 0.751 0.249

[25]
Here is YIn2As after structural relaxation from Alexandria via LeMat-Bulk. Energies are from PBE.

The total magnetization comes out at 0.000 μB/atom. The space group is F-43m. As for the density of states at the Fermi level: 1.88 states/eV per cell. The calculated formation energy comes out at -262 meV per atom.

abc: 5.190 5.190 5.190
angles: 60.00 60.00 60.00
Positions (direct):
Y1 0.000 0.000 0.000
In1 0.500 0.500 0.500
In2 0.750 0.750 0.750
As1 0.250 0.250 0.250

[26]
Here is EuPbO3 after structural relaxation from Alexandria via LeMat-Bulk. Energies are from PBE.

The total magnetization comes out at 1.357 μB/atom. The space group is Pm-3m. As for the density of states at the Fermi level: 15.54 states/eV per cell. The uncorrected formation energy is -1.5821 eV/atom.

abc: 4.298 4.298 4.298
angles: 90.00 90.00 90.00
Positions (direct):
Eu1 0.000 0.000 0.000
Pb1 0.500 0.500 0.500
O1 0.000 0.500 0.500
O2 0.500 0.000 0.500
O3 0.500 0.500 0.000